Density functional theory data (GGA-PBE) for Tm5Hf3H12 after structural relaxation.

Lattice parameters (Å, degrees): 12.3352 12.3352 12.3352 90.00 90.00 90.00
Space group Ia-3d (No. 230)
Inequivalent atoms, fractional coordinates:
Tm  0.0000  0.0000  0.0000 (multiplicity 16)
Tm  0.0000  0.2500  0.3750 (multiplicity 24)
Hf  0.0000  0.2500  0.1250 (multiplicity 24)
H  0.0043  0.0723  0.1580 (multiplicity 96)

Results
DOS(E_F)   0.589 states/eV/atom
Raw total energy   -5.0162 eV per atom

---

Density functional theory data (GGA-PBE) for Tm3Hf5H12 after structural relaxation.

Lattice parameters (Å, degrees): 12.1128 12.1128 12.1128 90.00 90.00 90.00
Space group Ia-3d (No. 230)
Inequivalent atoms, fractional coordinates:
Tm  0.0000  0.2500  0.1250 (multiplicity 24)
Hf  0.0000  0.0000  0.0000 (multiplicity 16)
Hf  0.0000  0.2500  0.3750 (multiplicity 24)
H  0.0078  0.0663  0.6525 (multiplicity 96)

Results
DOS(E_F)   0.242 states/eV/atom
Raw total energy   -5.6083 eV per atom

---

Density functional theory data (GGA-PBE) for Tm3HfH after structural relaxation.

Lattice parameters (Å, degrees): 4.7806 4.7806 4.7806 90.00 90.00 90.00
Space group Pm-3m (No. 221)
Inequivalent atoms, fractional coordinates:
Tm  0.0000  0.0000  0.5000 (multiplicity 3)
Hf  0.5000  0.5000  0.5000 (multiplicity 1)
H  0.0000  0.0000  0.0000 (multiplicity 1)

Results
DOS(E_F)   1.356 states/eV/atom
Raw total energy   -5.4035 eV per atom

---

Density functional theory data (GGA-PBE) for TmHfH2 after structural relaxation.

Lattice parameters (Å, degrees): 3.3090 3.3090 16.3813 90.00 90.00 120.00
Space group R-3m (No. 166, hexagonal axes)
Inequivalent atoms, fractional coordinates:
Tm  0.0000  0.0000  0.0000 (multiplicity 3)
Hf  0.0000  0.0000  0.5000 (multiplicity 3)
H  0.0000  0.0000  0.2302 (multiplicity 6)

Results
DOS(E_F)   0.926 states/eV/atom
Raw total energy   -5.5408 eV per atom

---

Number 1: ρ 9.85 g/cm³. Number 2: ρ 10.55 g/cm³. Number 3: ρ 10.43 g/cm³. Number 4: ρ 11.21 g/cm³.